5
Lattice="4.8814 0.0000 0.0000 0.0000 4.8814 0.0000 0.0000 0.0000 4.8814" Properties=species:S:1:pos:R:3 comment="Pd3PtSe (PBE-GGA, optimized geometry)" sg="No. 221" crystal_system=cubic e_tot_ev_per_cell=-19.94 polymorph_energy_mev_per_atom=565 pbc="T T T"
Se 2.4407 2.4407 2.4407
Pt 0.0000 0.0000 0.0000
Pd 0.0000 0.0000 2.4407
Pd 0.0000 2.4407 0.0000
Pd 2.4407 0.0000 0.0000